A PBEsol-optimized structure of MoH8S4N2. Source: Alexandria, functional SCAN.

Lattice parameters (Å, degrees): 6.928 9.506 11.823 90.00 90.00 90.00
Fractional positions:
Mo (0.250, 0.240, 0.929)
Mo (0.250, 0.740, 0.571)
Mo (0.750, 0.760, 0.071)
Mo (0.750, 0.260, 0.429)
H (0.250, 0.717, 0.871)
H (0.250, 0.217, 0.629)
H (0.750, 0.283, 0.129)
H (0.750, 0.783, 0.371)
H (0.250, 0.883, 0.816)
H (0.250, 0.383, 0.684)
H (0.750, 0.117, 0.184)
H (0.750, 0.617, 0.316)
H (0.372, 0.847, 0.938)
H (0.128, 0.347, 0.562)
H (0.872, 0.153, 0.062)
H (0.628, 0.653, 0.438)
H (0.628, 0.153, 0.062)
H (0.872, 0.653, 0.438)
H (0.128, 0.847, 0.938)
H (0.372, 0.347, 0.562)
H (0.250, 0.494, 0.220)
H (0.250, 0.994, 0.280)
H (0.750, 0.506, 0.780)
H (0.750, 0.006, 0.720)
H (0.250, 0.504, 0.076)
H (0.250, 0.004, 0.424)
H (0.750, 0.496, 0.924)
H (0.750, 0.996, 0.576)
H (0.128, 0.626, 0.154)
H (0.372, 0.126, 0.346)
H (0.628, 0.374, 0.846)
H (0.872, 0.874, 0.654)
H (0.872, 0.374, 0.846)
H (0.628, 0.874, 0.654)
H (0.372, 0.626, 0.154)
H (0.128, 0.126, 0.346)
S (0.250, 0.463, 0.878)
S (0.250, 0.963, 0.622)
S (0.750, 0.537, 0.122)
S (0.750, 0.037, 0.378)
S (0.250, 0.223, 0.112)
S (0.250, 0.723, 0.388)
S (0.750, 0.777, 0.888)
S (0.750, 0.277, 0.612)
S (0.994, 0.137, 0.862)
S (0.506, 0.637, 0.638)
S (0.494, 0.863, 0.138)
S (0.006, 0.363, 0.362)
S (0.006, 0.863, 0.138)
S (0.494, 0.363, 0.362)
S (0.506, 0.137, 0.862)
S (0.994, 0.637, 0.638)
N (0.250, 0.824, 0.891)
N (0.250, 0.324, 0.609)
N (0.750, 0.176, 0.109)
N (0.750, 0.676, 0.391)
N (0.250, 0.562, 0.152)
N (0.250, 0.062, 0.348)
N (0.750, 0.438, 0.848)
N (0.750, 0.938, 0.652)

The value obtained for the volume is 778.7 Å³/cell. As for the density of states at the Fermi level: 0.0 states/eV per cell. The calculation puts the density at 2.220 Mg/m³. As for the magnetization: 0.00 μB per cell. As for the space group: Pnma. Its total energy is -8.425 eV per atom.

***

A PBEsol-optimized structure of MoHSe2N. Source: Alexandria, functional SCAN.

Lattice parameters (Å, degrees): 3.765 4.933 4.933 90.00 90.00 90.00
Last column: magnetic moment on the atom in μB.
Fractional positions:
H (0.500, 0.500, 0.500)  0.32
Mo (0.000, 0.000, 0.000)  0.37
Se (0.000, 0.000, 0.500)  -0.23
Se (0.000, 0.500, 0.000)  -0.23
N (0.500, 0.000, 0.000)  -0.30

The value obtained for the volume is 91.6 Å³/cell. As for the density of states at the Fermi level: 2.6 states/eV per cell. The calculation puts the density at 4.873 Mg/m³. As for the magnetization: 0.04 μB per cell. As for the space group: P4/mmm. Its total energy is -16.864 eV per atom.

***

A PBEsol-optimized structure of TcMo2HN. Source: Alexandria, functional SCAN.

Lattice parameters (Å, degrees): 3.378 4.051 4.051 90.00 90.00 90.00
Fractional positions:
H (0.000, 0.000, 0.000)
Mo (0.000, 0.000, 0.500)
Mo (0.000, 0.500, 0.000)
Tc (0.500, 0.000, 0.000)
N (0.500, 0.500, 0.500)

The value obtained for the volume is 55.4 Å³/cell. As for the density of states at the Fermi level: 3.8 states/eV per cell. The calculation puts the density at 9.134 Mg/m³. As for the magnetization: 0.00 μB per cell. As for the space group: P4/mmm. Its total energy is -22.456 eV per atom.

***

A PBEsol-optimized structure of TeMoHN2. Source: Alexandria, functional SCAN.

Lattice parameters (Å, degrees): 3.791 3.791 5.558 90.00 90.00 90.00
Fractional positions:
H (0.500, 0.500, 0.500)
Mo (0.000, 0.000, 0.000)
Te (0.000, 0.000, 0.500)
N (0.000, 0.500, 0.000)
N (0.500, 0.000, 0.000)

The value obtained for the volume is 79.9 Å³/cell. As for the density of states at the Fermi level: 3.5 states/eV per cell. The calculation puts the density at 5.249 Mg/m³. As for the magnetization: 0.00 μB per cell. As for the space group: P4/mmm. Its total energy is -18.054 eV per atom.

***

A PBEsol-optimized structure of Zr2MoHN. Source: Alexandria, functional SCAN.

Lattice parameters (Å, degrees): 2.733 4.922 4.922 90.00 90.00 90.00
Fractional positions:
H (0.000, 0.000, 0.000)
Mo (0.500, 0.500, 0.500)
Zr (0.000, 0.000, 0.500)
Zr (0.000, 0.500, 0.000)
N (0.500, 0.000, 0.000)

The value obtained for the volume is 66.2 Å³/cell. As for the density of states at the Fermi level: 2.7 states/eV per cell. The calculation puts the density at 7.359 Mg/m³. As for the magnetization: 0.00 μB per cell. As for the space group: P4/mmm. Its total energy is -21.399 eV per atom.

***

A PBEsol-optimized structure of NaNi2Mo2H3O10. Source: Alexandria, functional SCAN.

Lattice parameters (Å, degrees): 5.548 5.548 7.467 68.42 68.42 67.97
Last column: magnetic moment on the atom in μB.
Fractional positions:
Na (0.500, 0.500, 0.000)  0.00
Ni (0.500, 0.000, 0.500)  1.66
Ni (0.000, 0.500, 0.500)  1.66
Mo (0.923, 0.923, 0.781)  0.07
Mo (0.077, 0.077, 0.219)  0.07
H (0.500, 0.500, 0.500)  0.00
H (0.313, 0.313, 0.731)  0.00
H (0.687, 0.687, 0.269)  0.00
O (0.648, 0.648, 0.418)  0.10
O (0.352, 0.352, 0.582)  0.10
O (0.169, 0.169, 0.391)  0.06
O (0.831, 0.831, 0.609)  0.06
O (0.236, 0.236, 0.980)  0.01
O (0.764, 0.764, 0.020)  0.01
O (0.725, 0.188, 0.246)  0.04
O (0.188, 0.725, 0.246)  0.04
O (0.275, 0.812, 0.754)  0.04
O (0.812, 0.275, 0.754)  0.04

The value obtained for the volume is 190.9 Å³/cell. As for the density of states at the Fermi level: 0.0 states/eV per cell. The calculation puts the density at 4.307 Mg/m³. As for the magnetization: 4.00 μB per cell. As for the space group: C2/m. Its total energy is -11.699 eV per atom.

***

A PBEsol-optimized structure of NaZnMoHO5. Source: Alexandria, functional SCAN.

Lattice parameters (Å, degrees): 6.117 7.781 9.230 90.00 90.00 90.00
Fractional positions:
Na (0.250, 0.641, 0.690)
Na (0.750, 0.359, 0.310)
Na (0.250, 0.141, 0.810)
Na (0.750, 0.859, 0.190)
Zn (0.500, 0.500, 0.000)
Zn (0.000, 0.500, 0.000)
Zn (0.000, 0.000, 0.500)
Zn (0.500, 0.000, 0.500)
Mo (0.750, 0.881, 0.832)
Mo (0.250, 0.119, 0.168)
Mo (0.750, 0.381, 0.668)
Mo (0.250, 0.619, 0.332)
H (0.250, 0.251, 0.518)
H (0.750, 0.749, 0.482)
H (0.250, 0.751, 0.982)
H (0.750, 0.249, 0.018)
O (0.986, 0.890, 0.722)
O (0.486, 0.110, 0.278)
O (0.514, 0.390, 0.778)
O (0.014, 0.610, 0.222)
O (0.014, 0.110, 0.278)
O (0.514, 0.890, 0.722)
O (0.486, 0.610, 0.222)
O (0.986, 0.390, 0.778)
O (0.750, 0.554, 0.547)
O (0.250, 0.446, 0.453)
O (0.750, 0.054, 0.953)
O (0.250, 0.946, 0.047)
O (0.250, 0.134, 0.563)
O (0.750, 0.866, 0.437)
O (0.250, 0.634, 0.937)
O (0.750, 0.366, 0.063)
O (0.750, 0.689, 0.941)
O (0.250, 0.311, 0.059)
O (0.750, 0.189, 0.559)
O (0.250, 0.811, 0.441)

The value obtained for the volume is 439.3 Å³/cell. As for the density of states at the Fermi level: 0.0 states/eV per cell. The calculation puts the density at 4.012 Mg/m³. As for the magnetization: 0.00 μB per cell. As for the space group: Pnma. Its total energy is -11.592 eV per atom.

***

A PBEsol-optimized structure of Na2MoPH. Source: Alexandria, functional SCAN.

Lattice parameters (Å, degrees): 3.333 5.612 5.612 90.00 90.00 90.00
Last column: magnetic moment on the atom in μB.
Fractional positions:
P (0.000, 0.000, 0.000)  0.12
Mo (0.500, 0.500, 0.500)  4.10
H (0.500, 0.000, 0.000)  0.02
Na (0.000, 0.000, 0.500)  0.02
Na (0.000, 0.500, 0.000)  0.02

The value obtained for the volume is 105.0 Å³/cell. As for the density of states at the Fermi level: 1.2 states/eV per cell. The calculation puts the density at 2.751 Mg/m³. As for the magnetization: 5.38 μB per cell. As for the space group: P4/mmm. Its total energy is -10.539 eV per atom.

***

A PBEsol-optimized structure of NbMo3H. Source: Alexandria, functional SCAN.

Lattice parameters (Å, degrees): 4.715 4.715 4.715 90.00 90.00 90.00
Fractional positions:
H (0.500, 0.500, 0.500)
Mo (0.000, 0.500, 0.000)
Mo (0.000, 0.000, 0.500)
Mo (0.500, 0.000, 0.000)
Nb (0.000, 0.000, 0.000)

The value obtained for the volume is 104.8 Å³/cell. As for the density of states at the Fermi level: 3.7 states/eV per cell. The calculation puts the density at 6.046 Mg/m³. As for the magnetization: 0.00 μB per cell. As for the space group: Pm-3m. Its total energy is -25.524 eV per atom.

***

A PBEsol-optimized structure of Nb2MoH2. Source: Alexandria, functional SCAN.

Lattice parameters (Å, degrees): 3.272 3.272 5.734 106.58 106.58 90.00
Fractional positions:
H (0.250, 0.750, 0.500)
H (0.750, 0.250, 0.500)
Mo (0.000, 0.000, 0.000)
Nb (0.352, 0.352, 0.705)
Nb (0.648, 0.648, 0.295)

The value obtained for the volume is 56.2 Å³/cell. As for the density of states at the Fermi level: 1.5 states/eV per cell. The calculation puts the density at 8.390 Mg/m³. As for the magnetization: 0.00 μB per cell. As for the space group: I4/mmm. Its total energy is -21.778 eV per atom.

***

A PBEsol-optimized structure of NiMo2H2. Source: Alexandria, functional SCAN.

Lattice parameters (Å, degrees): 3.237 3.237 5.019 108.81 108.81 90.00
Fractional positions:
Ni (0.000, 0.000, 0.000)
Mo (0.360, 0.360, 0.720)
Mo (0.640, 0.640, 0.280)
H (0.250, 0.750, 0.500)
H (0.750, 0.250, 0.500)

The value obtained for the volume is 46.8 Å³/cell. As for the density of states at the Fermi level: 3.3 states/eV per cell. The calculation puts the density at 8.963 Mg/m³. As for the magnetization: 0.00 μB per cell. As for the space group: I4/mmm. Its total energy is -18.392 eV per atom.

***

A PBEsol-optimized structure of MoH3Os. Source: Alexandria, functional SCAN.

Lattice parameters (Å, degrees): 3.405 3.405 3.405 90.00 90.00 90.00
Last column: magnetic moment on the atom in μB.
Fractional positions:
H (0.000, 0.500, 0.000)  0.00
H (0.000, 0.000, 0.500)  0.00
H (0.500, 0.000, 0.000)  0.00
Mo (0.000, 0.000, 0.000)  0.21
Os (0.500, 0.500, 0.500)  1.14

The value obtained for the volume is 39.5 Å³/cell. As for the density of states at the Fermi level: 1.7 states/eV per cell. The calculation puts the density at 12.166 Mg/m³. As for the magnetization: 1.46 μB per cell. As for the space group: Pm-3m. Its total energy is -22.554 eV per atom.

***

A PBEsol-optimized structure of MoHOsRu2. Source: Alexandria, functional SCAN.

Lattice parameters (Å, degrees): 4.587 4.587 4.651 90.00 90.00 90.00
Last column: magnetic moment on the atom in μB.
Fractional positions:
Ru (0.000, 0.500, 0.000)  1.25
Ru (0.500, 0.000, 0.000)  1.25
Mo (0.000, 0.000, 0.000)  -0.31
Os (0.000, 0.000, 0.500)  1.11
H (0.500, 0.500, 0.500)  0.28

The value obtained for the volume is 97.8 Å³/cell. As for the density of states at the Fermi level: 3.5 states/eV per cell. The calculation puts the density at 8.305 Mg/m³. As for the magnetization: 4.11 μB per cell. As for the space group: P4/mmm. Its total energy is -33.446 eV per atom.

***

A PBEsol-optimized structure of Mo2PH. Source: Alexandria, functional SCAN.

Lattice parameters (Å, degrees): 4.696 4.696 5.839 113.71 113.71 90.00
Fractional positions:
P (0.250, 0.750, 0.500)
P (0.000, 0.000, 0.000)
Mo (0.469, 0.875, 0.250)
Mo (0.781, 0.375, 0.250)
Mo (0.125, 0.219, 0.750)
Mo (0.625, 0.531, 0.750)
H (0.750, 0.250, 0.500)
H (0.500, 0.500, 0.000)

The value obtained for the volume is 105.9 Å³/cell. As for the density of states at the Fermi level: 4.4 states/eV per cell. The calculation puts the density at 7.018 Mg/m³. As for the magnetization: 0.00 μB per cell. As for the space group: I-42d. Its total energy is -20.545 eV per atom.

***

A PBEsol-optimized structure of Mo2PHPt. Source: Alexandria, functional SCAN.

Lattice parameters (Å, degrees): 3.807 3.807 4.163 90.00 90.00 90.00
Fractional positions:
P (0.500, 0.500, 0.500)
Mo (0.000, 0.500, 0.000)
Mo (0.500, 0.000, 0.000)
Pt (0.000, 0.000, 0.500)
H (0.000, 0.000, 0.000)

The value obtained for the volume is 60.3 Å³/cell. As for the density of states at the Fermi level: 3.8 states/eV per cell. The calculation puts the density at 11.533 Mg/m³. As for the magnetization: 0.00 μB per cell. As for the space group: P4/mmm. Its total energy is -30.522 eV per atom.

***

A PBEsol-optimized structure of Re2MoHPb. Source: Alexandria, functional SCAN.

Lattice parameters (Å, degrees): 3.336 4.867 4.867 90.00 90.00 90.00
Fractional positions:
Pb (0.500, 0.500, 0.500)
Re (0.000, 0.000, 0.500)
Re (0.000, 0.500, 0.000)
Mo (0.000, 0.000, 0.000)
H (0.500, 0.000, 0.000)

The value obtained for the volume is 79.0 Å³/cell. As for the density of states at the Fermi level: 4.3 states/eV per cell. The calculation puts the density at 14.216 Mg/m³. As for the magnetization: 0.00 μB per cell. As for the space group: P4/mmm. Its total energy is -49.838 eV per atom.

***

A PBEsol-optimized structure of MoH3Pd. Source: Alexandria, functional SCAN.

Lattice parameters (Å, degrees): 3.440 3.440 3.440 90.00 90.00 90.00
Fractional positions:
H (0.000, 0.500, 0.000)
H (0.000, 0.000, 0.500)
H (0.500, 0.000, 0.000)
Mo (0.000, 0.000, 0.000)
Pd (0.500, 0.500, 0.500)

The value obtained for the volume is 40.7 Å³/cell. As for the density of states at the Fermi level: 2.4 states/eV per cell. The calculation puts the density at 8.379 Mg/m³. As for the magnetization: 0.00 μB per cell. As for the space group: Pm-3m. Its total energy is -15.210 eV per atom.

***

A PBEsol-optimized structure of TiMoHPd2. Source: Alexandria, functional SCAN.

Lattice parameters (Å, degrees): 4.571 4.579 4.579 90.00 90.00 90.00
Last column: magnetic moment on the atom in μB.
Fractional positions:
H (0.500, 0.500, 0.500)  -0.22
Mo (0.500, 0.000, 0.000)  2.28
Pd (0.000, 0.000, 0.500)  0.12
Pd (0.000, 0.500, 0.000)  0.12
Ti (0.000, 0.000, 0.000)  -0.11

The value obtained for the volume is 95.8 Å³/cell. As for the density of states at the Fermi level: 3.3 states/eV per cell. The calculation puts the density at 6.198 Mg/m³. As for the magnetization: 2.25 μB per cell. As for the space group: P4/mmm. Its total energy is -22.392 eV per atom.

***

A PBEsol-optimized structure of Mo3HPt. Source: Alexandria, functional SCAN.

Lattice parameters (Å, degrees): 3.960 3.960 3.960 90.00 90.00 90.00
Fractional positions:
H (0.000, 0.000, 0.000)
Mo (0.000, 0.500, 0.000)
Mo (0.000, 0.000, 0.500)
Mo (0.500, 0.000, 0.000)
Pt (0.500, 0.500, 0.500)

The value obtained for the volume is 62.1 Å³/cell. As for the density of states at the Fermi level: 2.2 states/eV per cell. The calculation puts the density at 12.944 Mg/m³. As for the magnetization: 0.00 μB per cell. As for the space group: Pm-3m. Its total energy is -35.801 eV per atom.

***

A PBEsol-optimized structure of TeMoH2Pt. Source: Alexandria, functional SCAN.

Lattice parameters (Å, degrees): 3.718 3.718 5.165 90.00 90.00 90.00
Last column: magnetic moment on the atom in μB.
Fractional positions:
H (0.000, 0.500, 0.000)  0.00
H (0.500, 0.000, 0.000)  0.00
Mo (0.000, 0.000, 0.500)  1.63
Te (0.500, 0.500, 0.500)  -0.10
Pt (0.000, 0.000, 0.000)  0.02

The value obtained for the volume is 71.4 Å³/cell. As for the density of states at the Fermi level: 2.5 states/eV per cell. The calculation puts the density at 9.782 Mg/m³. As for the magnetization: 1.61 μB per cell. As for the space group: P4/mmm. Its total energy is -29.372 eV per atom.